K3SeO4: optimized geometry, PBE-GGA.

a b c (Å): 6.064 8.974 5.909
angles (deg): 90.00 90.00 90.00
Space group Imm2 (No. 44)
One atom of each set of equivalent atoms:
K1 0.000 0.000 0.000 (multiplicity 2)
K2 0.000 0.241 0.510 (multiplicity 4)
Se1 0.000 0.500 0.985 (multiplicity 2)
O1 0.000 0.300 0.067 (multiplicity 4)
O2 0.224 0.500 0.808 (multiplicity 4)

K4SeO: optimized geometry, PBE-GGA.

- energy relative to the lowest polymorph listed for this composition (eV/atom) = 0.033

a b c (Å): 14.365 7.465 6.920
angles (deg): 90.00 99.59 90.00
Space group C2/m (No. 12)
One atom of each set of equivalent atoms:
K1 0.000 0.249 0.000 (multiplicity 4)
K2 0.111 0.297 0.552 (multiplicity 8)
K3 0.187 0.500 0.124 (multiplicity 4)
Se1 0.186 0.000 0.240 (multiplicity 4)
O1 0.021 0.500 0.267 (multiplicity 4)

K2Se2O5: optimized geometry, PBE-GGA.

- energy relative to the lowest polymorph listed for this composition (eV/atom) = 0.257

a b c (Å): 12.875 4.105 6.241
angles (deg): 90.00 107.68 90.00
Space group C2/m (No. 12)
One atom of each set of equivalent atoms:
K1 0.075 0.000 0.339 (multiplicity 4)
Se1 0.148 0.500 0.954 (multiplicity 4)
O1 0.000 0.500 0.000 (multiplicity 2)
O2 0.106 0.500 0.672 (multiplicity 4)
O3 0.172 0.000 0.006 (multiplicity 4)

K6Se2O: optimized geometry, PBE-GGA.

- energy relative to the lowest polymorph listed for this composition (eV/atom) = 0.057

a b c (Å): 4.460 14.436 8.317
angles (deg): 90.00 90.00 90.00
Space group Amm2 (No. 38)
One atom of each set of equivalent atoms:
K1 0.000 0.000 0.000 (multiplicity 2)
K2 0.000 0.113 0.659 (multiplicity 4)
K3 0.500 0.000 0.366 (multiplicity 2)
K4 0.500 0.205 0.977 (multiplicity 4)
Se1 0.000 0.167 0.272 (multiplicity 4)
O1 0.500 0.000 0.770 (multiplicity 2)

K3Se2O6: optimized geometry, PBE-GGA.

a b c (Å): 3.977 3.977 21.971
angles (deg): 90.00 90.00 90.00
Space group I4/mmm (No. 139)
One atom of each set of equivalent atoms:
K1 0.000 0.000 0.000 (multiplicity 2)
K2 0.000 0.000 0.187 (multiplicity 4)
Se1 0.000 0.000 0.393 (multiplicity 4)
O1 0.000 0.000 0.315 (multiplicity 4)
O2 0.000 0.500 0.092 (multiplicity 8)

K4SeO: optimized geometry, PBE-GGA.

- energy relative to the lowest polymorph listed for this composition (eV/atom) = 0.000

a b c (Å): 7.254 7.388 7.226
angles (deg): 90.00 94.49 90.00
Space group P2_1/c (No. 14)
One atom of each set of equivalent atoms:
K1 0.148 0.208 0.230 (multiplicity 4)
K2 0.311 0.634 0.103 (multiplicity 4)
Se1 0.500 0.000 0.000 (multiplicity 2)
O1 0.000 0.000 0.500 (multiplicity 2)

K2SeO: optimized geometry, PBE-GGA.

- energy relative to the lowest polymorph listed for this composition (eV/atom) = 0.008

a b c (Å): 10.460 5.440 7.128
angles (deg): 90.00 93.75 90.00
Space group C2/m (No. 12)
One atom of each set of equivalent atoms:
K1 0.000 0.000 0.000 (multiplicity 2)
K2 0.000 0.000 0.500 (multiplicity 2)
K3 0.188 0.500 0.307 (multiplicity 4)
Se1 0.141 0.500 0.781 (multiplicity 4)
O1 0.195 0.000 0.307 (multiplicity 4)

K3Se2O7: optimized geometry, PBE-GGA.

a b c (Å): 3.955 21.988 3.923
angles (deg): 90.00 90.00 90.00
Space group Cmmm (No. 65)
One atom of each set of equivalent atoms:
K1 0.000 0.000 0.000 (multiplicity 2)
K2 0.000 0.180 0.000 (multiplicity 4)
Se1 0.000 0.408 0.500 (multiplicity 4)
O1 0.000 0.092 0.500 (multiplicity 4)
O2 0.000 0.330 0.500 (multiplicity 4)
O3 0.000 0.409 0.000 (multiplicity 4)
O4 0.000 0.500 0.500 (multiplicity 2)

KSiSe2O8: optimized geometry, PBE-GGA.

a b c (Å): 8.432 5.370 8.462
angles (deg): 90.00 107.95 90.00
Space group C2/m (No. 12)
One atom of each set of equivalent atoms:
K1 0.000 0.000 0.000 (multiplicity 2)
Si1 0.000 0.500 0.500 (multiplicity 2)
Se1 0.198 0.000 0.678 (multiplicity 4)
O1 0.070 0.274 0.664 (multiplicity 8)
O2 0.177 0.500 0.129 (multiplicity 4)
O3 0.207 0.500 0.477 (multiplicity 4)

KSm2SeO5: optimized geometry, PBE-GGA.

a b c (Å): 6.774 6.774 12.187
angles (deg): 90.00 90.00 90.00
Space group I4/mcm (No. 140)
One atom of each set of equivalent atoms:
K1 0.000 0.000 0.250 (multiplicity 4)
Sm1 0.176 0.324 0.000 (multiplicity 8)
Se1 0.000 0.500 0.250 (multiplicity 4)
O1 0.000 0.000 0.000 (multiplicity 4)
O2 0.135 0.365 0.382 (multiplicity 16)

KSmSe2O6: optimized geometry, PBE-GGA.

a b c (Å): 5.7205 5.7205 18.9894
angles (deg): 90.00 90.00 120.00
Space group R-3 (No. 148, hexagonal axes)
One atom of each set of equivalent atoms:
K1 0.0000 0.0000 0.0000 (multiplicity 3)
Sm1 0.0000 0.0000 0.5000 (multiplicity 3)
Se1 0.0000 0.0000 0.2753 (multiplicity 6)
O1 0.0350 0.6161 0.9054 (multiplicity 18)

K2Sn2Se2O: optimized geometry, PBE-GGA.

a b c (Å): 4.610 7.447 7.468
angles (deg): 60.81 72.24 72.06
Space group P-1 (No. 2)
One atom of each set of equivalent atoms:
K1 0.046 0.184 0.224 (multiplicity 2)
Sn1 0.322 0.626 0.229 (multiplicity 2)
Se1 0.347 0.248 0.559 (multiplicity 2)
O1 0.500 0.500 0.000 (multiplicity 1)

K2SrSeO4: optimized geometry, PBE-GGA.

a b c (Å): 6.196 6.196 8.498
angles (deg): 90.00 90.00 90.00
Space group I-4 (No. 82)
One atom of each set of equivalent atoms:
K1 0.000 0.000 0.000 (multiplicity 2)
K2 0.000 0.500 0.250 (multiplicity 2)
Sr1 0.000 0.000 0.500 (multiplicity 2)
Se1 0.000 0.500 0.750 (multiplicity 2)
O1 0.177 0.716 0.645 (multiplicity 8)

K3SrSe2O6: optimized geometry, PBE-GGA.

a b c (Å): 6.0967 6.0967 7.1775
angles (deg): 90.00 90.00 120.00
Space group P-3m1 (No. 164)
One atom of each set of equivalent atoms:
K1 0.0000 0.0000 0.0000 (multiplicity 1)
K2 0.3333 0.6667 0.6626 (multiplicity 2)
Sr1 0.0000 0.0000 0.5000 (multiplicity 1)
Se1 0.3333 0.6667 0.1762 (multiplicity 2)
O1 0.1865 0.3730 0.2929 (multiplicity 6)

KTaSeO5: optimized geometry, PBE-GGA.

a b c (Å): 7.079 9.289 7.469
angles (deg): 90.00 106.11 90.00
Space group C2/c (No. 15)
One atom of each set of equivalent atoms:
K1 0.000 0.157 0.250 (multiplicity 4)
Ta1 0.000 0.500 0.000 (multiplicity 4)
Se1 0.000 0.178 0.750 (multiplicity 4)
O1 0.000 0.435 0.250 (multiplicity 4)
O2 0.099 0.296 0.617 (multiplicity 8)
O3 0.232 0.076 0.958 (multiplicity 8)

K2TaSeO6: optimized geometry, PBE-GGA.

a b c (Å): 5.619 5.619 7.938
angles (deg): 90.00 90.00 90.00
Space group I4/mmm (No. 139)
One atom of each set of equivalent atoms:
K1 0.000 0.500 0.250 (multiplicity 4)
Ta1 0.000 0.000 0.000 (multiplicity 2)
Se1 0.000 0.000 0.500 (multiplicity 2)
O1 0.000 0.000 0.253 (multiplicity 4)
O2 0.248 0.248 0.500 (multiplicity 8)

KTbSe2O8: optimized geometry, PBE-GGA.

a b c (Å): 5.5517 5.5517 8.2757
angles (deg): 90.00 90.00 120.00
Space group P-3 (No. 147)
One atom of each set of equivalent atoms:
K1 0.0000 0.0000 0.0000 (multiplicity 1)
Tb1 0.0000 0.0000 0.5000 (multiplicity 1)
Se1 0.3333 0.6667 0.7431 (multiplicity 2)
O1 0.0946 0.3537 0.6719 (multiplicity 6)
O2 0.3333 0.6667 0.9413 (multiplicity 2)

KTb3Se4O12: optimized geometry, PBE-GGA.

a b c (Å): 12.3188 12.3188 8.4639
angles (deg): 90.00 90.00 120.00
Space group R32 (No. 155, hexagonal axes)
One atom of each set of equivalent atoms:
K1 0.0000 0.0000 0.0000 (multiplicity 3)
Tb1 0.0000 0.5660 0.0000 (multiplicity 9)
Se1 0.0000 0.0000 0.5000 (multiplicity 3)
Se2 0.0000 0.4346 0.5000 (multiplicity 9)
O1 0.0000 0.6166 0.5000 (multiplicity 9)
O2 0.0000 0.8451 0.5000 (multiplicity 9)
O3 0.0477 0.2499 0.1717 (multiplicity 18)

K2Tb4Se3O2: optimized geometry, PBE-GGA.

a b c (Å): 4.636 4.636 24.616
angles (deg): 90.00 90.00 90.00
Space group I4/mmm (No. 139)
One atom of each set of equivalent atoms:
K1 0.000 0.000 0.200 (multiplicity 4)
Tb1 0.000 0.500 0.075 (multiplicity 8)
Se1 0.000 0.000 0.343 (multiplicity 4)
Se2 0.000 0.000 0.500 (multiplicity 2)
O1 0.000 0.000 0.091 (multiplicity 4)

KTbSe2O6: optimized geometry, PBE-GGA.

a b c (Å): 5.6770 5.6770 18.8263
angles (deg): 90.00 90.00 120.00
Space group R-3 (No. 148, hexagonal axes)
One atom of each set of equivalent atoms:
K1 0.0000 0.0000 0.0000 (multiplicity 3)
Tb1 0.0000 0.0000 0.5000 (multiplicity 3)
Se1 0.0000 0.0000 0.2739 (multiplicity 6)
O1 0.0308 0.4197 0.9040 (multiplicity 18)

Number 1: raw formation energy -1248.8 meV/atom, raw total energy -4.5751 eV per atom. Number 2: raw formation energy -987.3 meV/atom, raw total energy -3.1261 eV per atom. Number 3: raw formation energy -1030.4 meV/atom, raw total energy -4.8032 eV per atom. Number 4: raw formation energy -999.0 meV/atom, raw total energy -3.0559 eV per atom. Number 5: raw formation energy -1113.8 meV/atom, raw total energy -4.7511 eV per atom. Number 6: raw formation energy -1020.7 meV/atom, raw total energy -3.1595 eV per atom. Number 7: raw formation energy -1076.7 meV/atom, raw total energy -3.7361 eV per atom. Number 8: raw formation energy -860.7 meV/atom, raw total energy -4.6081 eV per atom. Number 9: raw formation energy -1114.2 meV/atom, raw total energy -5.5438 eV per atom. Number 10: raw formation energy -2084.1 meV/atom, raw total energy -6.3964 eV per atom. Number 11: raw formation energy -1724.9 meV/atom, raw total energy -5.9784 eV per atom. Number 12: raw formation energy -848.7 meV/atom, raw total energy -4.0098 eV per atom. Number 13: raw formation energy -1464.9 meV/atom, raw total energy -4.8642 eV per atom. Number 14: raw formation energy -1497.8 meV/atom, raw total energy -4.9722 eV per atom. Number 15: raw formation energy -1768.2 meV/atom, raw total energy -6.9214 eV per atom. Number 16: raw formation energy -1658.7 meV/atom, raw total energy -6.3868 eV per atom. Number 17: raw formation energy -1541.2 meV/atom, raw total energy -5.9048 eV per atom. Number 18: raw formation energy -1609.3 meV/atom, raw total energy -6.0306 eV per atom. Number 19: raw formation energy -1831.0 meV/atom, raw total energy -5.5661 eV per atom. Number 20: raw formation energy -1741.7 meV/atom, raw total energy -5.9863 eV per atom.